Material: Cs2BaH4
Method: DFT, PBE
State: optimized geometry

The total DFT energy (no corrections) comes out at -2.70 eV/atom. The volume is 405.4 Å³ per cell.

```
Cs2BaH4
1.0
7.457 0.000 0.000
0.000 12.553 0.000
0.000 0.000 4.331
Cs Ba H
4 2 8
direct
0.055 0.179 0.000 Cs
0.445 0.679 0.000 Cs
0.555 0.321 0.000 Cs
0.945 0.821 0.000 Cs
0.000 0.500 0.500 Ba
0.500 0.000 0.500 Ba
0.149 0.692 0.500 H
0.208 0.456 0.000 H
0.292 0.956 0.000 H
0.351 0.192 0.500 H
0.649 0.808 0.500 H
0.708 0.044 0.000 H
0.792 0.544 0.000 H
0.851 0.308 0.500 H
```

=====

Material: Fe3PPt
Method: DFT, PBE
State: optimized geometry

The value obtained for the energy above the most stable polymorph in this dataset is 0 meV/atom. The volume is 67.1 Å³ per cell. The calculation puts the formation energy from the elements at 11.74 kcal/mol of atoms.

```
Fe3PPt
1.0
4.064 0.000 0.000
0.000 4.064 0.000
0.000 0.000 4.064
Fe P Pt
3 1 1
direct
0.000 0.000 0.500 Fe
0.000 0.500 0.000 Fe
0.500 0.000 0.000 Fe
0.000 0.000 0.000 P
0.500 0.500 0.500 Pt
```

=====

Material: LiZr2Au2
Method: DFT, PBE
State: optimized geometry

The value obtained for the energy above the most stable polymorph in this dataset is 89 meV/atom. The volume is 211.1 Å³ per cell. The calculation puts the formation energy from the elements at -6.21 kcal/mol of atoms.

```
LiZr2Au2
1.0
8.367 0.000 0.000
0.000 8.367 0.000
0.000 0.000 3.015
Li Zr Au
2 4 4
direct
0.000 0.000 0.000 Li
0.500 0.500 0.000 Li
0.159 0.341 0.000 Zr
0.341 0.841 0.000 Zr
0.659 0.159 0.000 Zr
0.841 0.659 0.000 Zr
0.136 0.636 0.500 Au
0.364 0.136 0.500 Au
0.636 0.864 0.500 Au
0.864 0.364 0.500 Au
```

=====

Material: YMnMo2
Method: DFT, PBE
State: optimized geometry

The value obtained for the energy above the most stable polymorph in this dataset is 753 meV/atom. The volume is 184.6 Å³ per cell. The calculation puts the formation energy from the elements at 23.02 kcal/mol of atoms.

```
YMnMo2
1.0
-2.382 2.382 8.138
2.382 -2.382 8.138
2.382 2.382 -8.138
Y Mn Mo
2 2 4
direct
0.375 0.625 0.750 Y
0.625 0.375 0.250 Y
0.125 0.875 0.250 Mn
0.875 0.125 0.750 Mn
0.000 0.000 0.000 Mo
0.000 0.000 0.500 Mo
0.000 0.500 0.000 Mo
0.500 0.000 0.500 Mo
```